1.
A plane-wave DFT calculation with GGA-PBE was carried out for crystalline GdNpTl at its relaxed geometry.

Summary:
Total moment: 5.29 Bohr magnetons per cell
Symmetry: F-43m

abc: 5.2231 5.2231 5.2231
angles: 60.00 60.00 60.00
Positions (direct):
Gd1 0.2500 0.2500 0.2500
Np1 0.7500 0.7500 0.7500
Tl1 0.0000 0.0000 0.0000

2.
A plane-wave DFT calculation with GGA-PBE was carried out for crystalline TcAg2Au at its relaxed geometry.

Summary:
Total moment: 2.41 Bohr magnetons per cell
Symmetry: F-43m

abc: 4.6009 4.6009 4.6009
angles: 60.00 60.00 60.00
Positions (direct):
Ag1 0.0000 0.0000 0.0000
Ag2 0.7500 0.7500 0.7500
Au1 0.2500 0.2500 0.2500
Tc1 0.5000 0.5000 0.5000

3.
A plane-wave DFT calculation with GGA-PBE was carried out for crystalline TlSb5Pd3 at its relaxed geometry.

Summary:
Symmetry: P6/mmm

abc: 5.6234 5.6234 8.2671
angles: 90.00 90.00 120.00
Positions (direct):
Pd1 0.5000 0.0000 0.5000
Pd2 0.0000 0.5000 0.5000
Pd3 0.5000 0.5000 0.5000
Sb1 0.6667 0.3333 0.2221
Sb2 0.3333 0.6667 0.2221
Sb3 0.0000 0.0000 0.5000
Sb4 0.6667 0.3333 0.7779
Sb5 0.3333 0.6667 0.7779
Tl1 0.0000 0.0000 0.0000

4.
A plane-wave DFT calculation with GGA-PBE was carried out for crystalline Zr2SeS2I at its relaxed geometry.

Summary:
Total moment: 0.01 Bohr magnetons per cell
Symmetry: Pmn2_1

abc: 3.7466 6.4674 13.6530
angles: 90.00 90.00 90.00
Positions (direct):
I1 0.0000 0.8645 0.1477
I2 0.5000 0.1355 0.6477
S1 0.5000 0.3632 0.1116
S2 0.5000 0.8080 0.3934
S3 0.0000 0.6368 0.6116
S4 0.0000 0.1920 0.8934
Se1 0.0000 0.3003 0.3881
Se2 0.5000 0.6997 0.8881
Zr1 0.5000 0.0449 0.0009
Zr2 0.0000 0.5106 0.0024
Zr3 0.0000 0.9551 0.5009
Zr4 0.5000 0.4894 0.5024

5.
A plane-wave DFT calculation with GGA-PBE was carried out for crystalline ScCuB at its relaxed geometry.

Summary:
Total moment: 0.00 Bohr magnetons per cell
Symmetry: F-43m

abc: 4.0710 4.0710 4.0710
angles: 60.00 60.00 60.00
Positions (direct):
B1 0.2500 0.2500 0.2500
Cu1 0.7500 0.7500 0.7500
Sc1 0.0000 0.0000 0.0000

6.
A plane-wave DFT calculation with GGA-PBE was carried out for crystalline NdFe2SiP at its relaxed geometry.

Summary:
Total moment: 0.00 Bohr magnetons per cell
Symmetry: I4mm

abc: 5.6344 5.6344 5.6344
angles: 139.23 139.23 59.02
Positions (direct):
Fe1 0.7530 0.2530 0.5000
Fe2 0.2530 0.7530 0.5000
Nd1 0.9974 0.9974 0.0000
P1 0.3595 0.3595 0.0000
Si1 0.6371 0.6371 0.0000

7.
A plane-wave DFT calculation with GGA-PBE was carried out for crystalline Cs2GaAgCl6 at its relaxed geometry.

Summary:
Symmetry: R3

abc: 7.3202 7.3202 7.3202
angles: 60.14 60.14 60.14
Positions (direct):
Ag1 0.5000 0.5000 0.5000
Cl1 0.2386 0.7679 0.2286
Cl2 0.7716 0.7618 0.2327
Cl3 0.7679 0.2286 0.2386
Cl4 0.2327 0.7716 0.7618
Cl5 0.2286 0.2386 0.7679
Cl6 0.7618 0.2327 0.7716
Cs1 0.2510 0.2510 0.2510
Cs2 0.7497 0.7497 0.7497
Ga1 0.0000 0.0000 0.0000

8.
A plane-wave DFT calculation with GGA-PBE was carried out for crystalline Zr4ZnAsC2 at its relaxed geometry.

Summary:
Total moment: 0.25 Bohr magnetons per cell
Symmetry: P-6m2

abc: 3.3936 3.3936 13.5812
angles: 90.00 90.00 120.00
Positions (direct):
As1 0.6667 0.3333 0.5000
C1 0.3333 0.6667 0.2602
C2 0.3333 0.6667 0.7398
Zn1 0.0000 0.0000 0.0000
Zr1 0.6667 0.3333 0.1681
Zr2 0.0000 0.0000 0.3548
Zr3 0.0000 0.0000 0.6452
Zr4 0.6667 0.3333 0.8319

Number 1: DFT total energy -6.079 eV per atom. Number 2: DFT total energy -4.336 eV per atom. Number 3: DFT total energy -4.463 eV per atom. Number 4: DFT total energy -6.382 eV per atom. Number 5: DFT total energy -4.802 eV per atom. Number 6: DFT total energy -7.267 eV per atom. Number 7: DFT total energy -3.212 eV per atom. Number 8: DFT total energy -8.041 eV per atom.